Run i
A relaxed structure of BaTaCr2, computed with PBE.

a = 7.144 Å, b = 7.144 Å, c = 7.144 Å
α = 154.27°, β = 143.90°, γ = 44.87°
Positions (direct):
1 Ba 0.000 0.000 0.000
2 Ta 0.733 0.233 0.500
3 Cr 0.229 0.729 0.500
4 Cr 0.339 0.339 0.000

Run ii
A relaxed structure of BaTaCr2, computed with PBE.

a = 3.478 Å, b = 3.525 Å, c = 7.264 Å
α = 90.00°, β = 90.00°, γ = 90.00°
Positions (direct):
1 Ba 0.000 0.000 0.000
2 Ta 0.000 0.000 0.500
3 Cr 0.500 0.500 0.360
4 Cr 0.500 0.500 0.640

run ii comes first in stability; the runner-up is 12.4 kJ/mol of atoms higher.

Run i
A relaxed structure of BaTaCr2, computed with PBE.

a = 6.039 Å, b = 6.039 Å, c = 6.039 Å
α = 148.66°, β = 121.15°, γ = 68.20°
Positions (direct):
1 Ba 0.000 0.000 0.000
2 Ta 0.500 0.500 0.000
3 Cr 0.298 0.798 0.500
4 Cr 0.702 0.202 0.500

Run ii
A relaxed structure of BaTaCr2, computed with PBE.

a = 4.945 Å, b = 4.945 Å, c = 4.945 Å
α = 60.00°, β = 60.00°, γ = 60.00°
Positions (direct):
1 Ba 0.000 0.000 0.000
2 Ta 0.500 0.500 0.500
3 Cr 0.250 0.250 0.250
4 Cr 0.750 0.750 0.750

Run iii
A relaxed structure of BaTaCr2, computed with PBE.

a = 9.206 Å, b = 9.206 Å, c = 9.206 Å
α = 147.07°, β = 147.07°, γ = 47.26°
Positions (direct):
1 Ba 0.375 0.625 0.750
2 Ba 0.625 0.375 0.250
3 Ta 0.125 0.875 0.250
4 Ta 0.875 0.125 0.750
5 Cr 0.000 0.000 0.000
6 Cr 0.000 0.000 0.500
7 Cr 0.000 0.500 0.000
8 Cr 0.500 0.000 0.500

run ii comes first in stability; the runner-up is 5.8 kJ/mol of atoms higher.